Entry 1:
Compound: Li2CrSi
Source: Alexandria
Functional: GGA-PBE
Structure: relaxed

abc: 2.696 3.739 5.731
angles: 90.00 90.00 90.00
Fractional coordinates of all 4 atoms:
Li 0.000 0.000 0.000
Li 0.500 0.500 0.262
Cr 0.500 0.500 0.715
Si 0.000 0.000 0.537

## Properties
- Total energy: -0.3405 Ry/atom
- Fermi-level density of states: 2.83 states/eV per cell
- Space group: Pmm2 (25)
- E_form (uncorrected): 0.0861 eV/atom
- Mass density: 2.7 g cm⁻³

Entry 2:
Compound: SmGdSnPb
Source: Alexandria
Functional: GGA-PBE
Structure: relaxed

abc: 5.470 5.470 5.470
angles: 60.00 60.00 60.00
Fractional coordinates of all 4 atoms:
Sm 0.000 0.000 0.000
Gd 0.500 0.500 0.500
Sn 0.250 0.250 0.250
Pb 0.750 0.750 0.750

## Properties
- Total energy: -0.5243 Ry/atom
- Fermi-level density of states: 4.46 states/eV per cell
- ΔH_f (0 K): -11.67 kcal/mol of atoms
- Space group: F-43m (216)
- Mass density: 9.1 g cm⁻³

Entry 3:
Compound: Ho3Tm5Th
Source: Alexandria
Functional: GGA-PBE
Structure: relaxed

abc: 9.285 9.285 12.138
angles: 126.61 126.61 49.84
Fractional coordinates of all 18 atoms:
Ho 0.000 0.000 0.000
Ho 0.121 0.121 0.817
Ho 0.332 0.332 0.161
Ho 0.500 0.500 0.500
Ho 0.668 0.668 0.839
Ho 0.879 0.879 0.183
Tm 0.178 0.822 0.500
Tm 0.203 0.203 0.576
Tm 0.222 0.639 0.711
Tm 0.361 0.778 0.289
Tm 0.379 0.379 0.936
Tm 0.621 0.621 0.064
Tm 0.639 0.222 0.711
Tm 0.778 0.361 0.289
Tm 0.797 0.797 0.424
Tm 0.822 0.178 0.500
Th 0.263 0.263 0.365
Th 0.737 0.737 0.635

## Properties
- Total energy: -0.3219 Ry/atom
- Fermi-level density of states: 25.46 states/eV per cell
- ΔH_f (0 K): 10.48 kcal/mol of atoms
- Space group: C2/m (12)
- Mass density: 8.7 g cm⁻³

Entry 4:
Compound: Nd7Tl2Ga2
Source: Alexandria
Functional: GGA-PBE
Structure: relaxed

abc: 6.770 6.770 8.249
angles: 90.00 90.00 110.63
Fractional coordinates of all 11 atoms:
Nd 0.000 0.000 0.000
Nd 0.000 0.500 0.300
Nd 0.000 0.500 0.700
Nd 0.500 0.000 0.300
Nd 0.500 0.000 0.700
Nd 0.500 0.500 0.282
Nd 0.500 0.500 0.718
Tl 0.299 0.701 0.000
Tl 0.701 0.299 0.000
Ga 0.165 0.165 0.500
Ga 0.835 0.835 0.500

## Properties
- Total energy: -0.3016 Ry/atom
- Fermi-level density of states: 15.95 states/eV per cell
- ΔH_f (0 K): -2.03 kcal/mol of atoms
- Space group: Cmmm (65)
- Mass density: 7.3 g cm⁻³

Entry 5:
Compound: Li2YAl
Source: Alexandria
Functional: GGA-PBE
Structure: relaxed

abc: 3.276 5.106 5.338
angles: 90.00 93.40 90.00
Fractional coordinates of all 4 atoms:
Li 0.183 0.000 0.279
Li 0.817 0.000 0.721
Y 0.500 0.500 0.000
Al 0.000 0.500 0.500

## Properties
- Total energy: -0.2610 Ry/atom
- Fermi-level density of states: 2.40 states/eV per cell
- ΔH_f (0 K): -0.98 kcal/mol of atoms
- Space group: P2/m (10)
- Mass density: 2.4 g cm⁻³

Entry 6:
Compound: Tc2PbAu
Source: Alexandria
Functional: GGA-PBE
Structure: relaxed

abc: 9.134 9.134 9.134
angles: 19.08 19.08 19.08
Fractional coordinates of all 4 atoms:
Tc 0.248 0.248 0.248
Tc 0.752 0.752 0.752
Pb 0.000 0.000 0.000
Au 0.500 0.500 0.500

## Properties
- Total energy: -0.4543 Ry/atom
- Fermi-level density of states: 2.83 states/eV per cell
- ΔH_f (0 K): 17.26 kcal/mol of atoms
- Space group: R-3m (166)
- Mass density: 14.0 g cm⁻³

Entry 7:
Compound: Be2GaPb2O6
Source: Alexandria
Functional: GGA-PBE
Structure: relaxed

abc: 6.064 6.064 6.064
angles: 52.58 52.58 52.58
Fractional coordinates of all 11 atoms:
Be 0.088 0.088 0.088
Be 0.912 0.912 0.912
Ga 0.500 0.500 0.500
Pb 0.290 0.290 0.290
Pb 0.710 0.710 0.710
O 0.247 0.749 0.749
O 0.251 0.251 0.753
O 0.251 0.753 0.251
O 0.749 0.247 0.749
O 0.749 0.749 0.247
O 0.753 0.251 0.251

## Properties
- Total energy: -0.4367 Ry/atom
- Fermi-level density of states: 5.99 states/eV per cell
- Space group: R-3m (166)
- E_form (uncorrected): -1.6101 eV/atom
- Mass density: 7.6 g cm⁻³

Entry 8:
Compound: Li3Ac2AgPt4
Source: Alexandria
Functional: GGA-PBE
Structure: relaxed

abc: 4.227 4.227 11.166
angles: 90.00 90.00 90.00
Fractional coordinates of all 10 atoms:
Li 0.000 0.000 0.000
Li 0.000 0.500 0.613
Li 0.500 0.000 0.387
Ac 0.000 0.500 0.267
Ac 0.500 0.000 0.733
Ag 0.500 0.500 0.000
Pt 0.000 0.000 0.500
Pt 0.000 0.500 0.835
Pt 0.500 0.000 0.165
Pt 0.500 0.500 0.500

## Properties
- Total energy: -0.3539 Ry/atom
- Fermi-level density of states: 3.47 states/eV per cell
- ΔH_f (0 K): -16.54 kcal/mol of atoms
- Space group: P-4m2 (115)
- Mass density: 11.3 g cm⁻³

Entry 9:
Compound: TbCd2Au
Source: Alexandria
Functional: GGA-PBE
Structure: relaxed

abc: 3.485 4.994 5.489
angles: 90.00 99.19 90.00
Fractional coordinates of all 4 atoms:
Tb 0.000 0.000 0.000
Cd 0.380 0.500 0.737
Cd 0.620 0.500 0.263
Au 0.500 0.000 0.500

## Properties
- Total energy: -0.2040 Ry/atom
- Fermi-level density of states: 1.60 states/eV per cell
- ΔH_f (0 K): -7.87 kcal/mol of atoms
- Space group: P2/m (10)
- Mass density: 10.2 g cm⁻³

Entry 10:
Compound: LiCaAu4
Source: Alexandria
Functional: GGA-PBE
Structure: relaxed

abc: 5.053 5.053 7.022
angles: 106.92 106.92 44.65
Fractional coordinates of all 6 atoms:
Li 0.000 0.000 0.000
Ca 0.000 0.000 0.500
Au 0.336 0.336 0.153
Au 0.346 0.346 0.722
Au 0.654 0.654 0.278
Au 0.664 0.664 0.847

## Properties
- Total energy: -0.2458 Ry/atom
- Fermi-level density of states: 2.03 states/eV per cell
- Excess energy over the best structure of this formula in the dataset: 0 meV/atom
- ΔH_f (0 K): -11.69 kcal/mol of atoms
- Space group: C2/m (12)
- Mass density: 11.6 g cm⁻³

Entry 11:
Compound: La8Sc
Source: Alexandria
Functional: GGA-PBE
Structure: relaxed

abc: 8.208 8.208 8.208
angles: 95.78 95.78 142.99
Fractional coordinates of all 9 atoms:
La 0.000 0.328 0.328
La 0.000 0.672 0.672
La 0.328 0.000 0.328
La 0.336 0.336 0.671
La 0.336 0.664 0.000
La 0.664 0.336 0.000
La 0.664 0.664 0.329
La 0.672 0.000 0.672
Sc 0.000 0.000 0.000

## Properties
- Total energy: -0.3717 Ry/atom
- Fermi-level density of states: 16.54 states/eV per cell
- Excess energy over the best structure of this formula in the dataset: 0 meV/atom
- ΔH_f (0 K): 0.61 kcal/mol of atoms
- Space group: I4/mmm (139)
- Mass density: 6.1 g cm⁻³

Entry 12:
Compound: LiSiB
Source: Alexandria
Functional: GGA-PBE
Structure: relaxed

abc: 7.519 6.362 5.470
angles: 78.52 56.01 45.48
Fractional coordinates of all 12 atoms:
Li 0.228 0.772 0.251
Li 0.501 0.999 0.478
Li 0.772 0.228 0.749
Li 0.999 0.501 0.022
Si 0.033 0.478 0.492
Si 0.254 0.758 0.772
Si 0.478 0.033 0.996
Si 0.758 0.254 0.217
B 0.301 0.474 0.526
B 0.474 0.301 0.700
B 0.550 0.724 0.776
B 0.724 0.550 0.949

## Properties
- Total energy: -0.3316 Ry/atom
- Fermi-level density of states: 0.29 states/eV per cell
- Space group: Fdd2 (43)
- E_form (uncorrected): 0.1603 eV/atom
- Mass density: 2.1 g cm⁻³

Entry 13:
Compound: TeI2ClO
Source: Alexandria
Functional: GGA-PBE
Structure: relaxed

abc: 6.063 6.063 4.042
angles: 90.00 90.00 90.00
Fractional coordinates of all 5 atoms:
Te 0.000 0.000 0.000
I 0.000 0.500 0.000
I 0.500 0.000 0.000
Cl 0.500 0.500 0.500
O 0.000 0.000 0.500

## Properties
- Total energy: -0.1924 Ry/atom
- Fermi-level density of states: 6.68 states/eV per cell
- Excess energy over the best structure of this formula in the dataset: 0 meV/atom
- Space group: P4/mmm (123)
- E_form (uncorrected): -0.0079 eV/atom
- Mass density: 4.8 g cm⁻³

Entry 14:
Compound: BaLa2Fe
Source: Alexandria
Functional: GGA-PBE
Structure: relaxed

abc: 10.246 10.246 10.246
angles: 23.25 23.25 23.25
Fractional coordinates of all 4 atoms:
Ba 0.000 0.000 0.000
La 0.214 0.214 0.214
La 0.786 0.786 0.786
Fe 0.500 0.500 0.500

## Properties
- Total energy: -0.3600 Ry/atom
- Fermi-level density of states: 3.96 states/eV per cell
- Excess energy over the best structure of this formula in the dataset: 0 meV/atom
- ΔH_f (0 K): 3.75 kcal/mol of atoms
- Space group: R-3m (166)
- Mass density: 5.3 g cm⁻³